1.
Crystalline Rb3Mo10O30 at its relaxed geometry. Source: the Alexandria database, functional GGA+U.

abc: 10.498 10.498 10.498
angles: 118.35 118.35 42.98
Positions (direct):
Rb: 0.000 0.000 0.000
Rb: 0.322 0.322 0.775
Rb: 0.678 0.678 0.225
Mo: 0.110 0.609 0.157
Mo: 0.168 0.680 0.538
Mo: 0.279 0.279 0.326
Mo: 0.320 0.832 0.462
Mo: 0.391 0.890 0.843
Mo: 0.609 0.110 0.157
Mo: 0.680 0.168 0.538
Mo: 0.721 0.721 0.674
Mo: 0.832 0.320 0.462
Mo: 0.890 0.391 0.843
O: 0.000 0.500 0.000
O: 0.075 0.075 0.489
O: 0.075 0.559 0.339
O: 0.142 0.142 0.828
O: 0.148 0.667 0.684
O: 0.187 0.187 0.164
O: 0.187 0.626 0.058
O: 0.216 0.702 0.357
O: 0.256 0.256 0.466
O: 0.298 0.784 0.643
O: 0.333 0.852 0.316
O: 0.344 0.344 0.189
O: 0.374 0.813 0.942
O: 0.413 0.413 0.506
O: 0.441 0.925 0.661
O: 0.500 0.000 0.000
O: 0.559 0.075 0.339
O: 0.587 0.587 0.494
O: 0.626 0.187 0.058
O: 0.656 0.656 0.811
O: 0.667 0.148 0.684
O: 0.702 0.216 0.357
O: 0.744 0.744 0.534
O: 0.784 0.298 0.643
O: 0.813 0.374 0.942
O: 0.813 0.813 0.836
O: 0.852 0.333 0.316
O: 0.858 0.858 0.172
O: 0.925 0.441 0.661
O: 0.925 0.925 0.511



2.
Crystalline Rb4MoO4 at its relaxed geometry. Source: the Alexandria database, functional GGA+U.

abc: 7.368 7.368 9.781
angles: 90.00 90.00 90.00
Positions (direct):
Rb: 0.012 0.250 0.068
Rb: 0.250 0.012 0.568
Rb: 0.250 0.488 0.568
Rb: 0.488 0.250 0.068
Rb: 0.512 0.750 0.932
Rb: 0.750 0.512 0.432
Rb: 0.750 0.988 0.432
Rb: 0.988 0.750 0.932
Mo: 0.250 0.750 0.250
Mo: 0.750 0.250 0.750
O: 0.053 0.750 0.374
O: 0.250 0.553 0.126
O: 0.250 0.947 0.126
O: 0.447 0.750 0.374
O: 0.553 0.250 0.626
O: 0.750 0.053 0.874
O: 0.750 0.447 0.874
O: 0.947 0.250 0.626



3.
Crystalline RbMo2O2 at its relaxed geometry. Source: the Alexandria database, functional GGA+U.

As for the excess energy over the best structure of this formula in the dataset: 728 meV/atom.

abc: 7.672 7.672 3.064
angles: 90.00 90.00 90.00
Positions (direct):
Rb: 0.000 0.000 0.000
Rb: 0.500 0.500 0.000
Mo: 0.095 0.405 0.000
Mo: 0.405 0.905 0.000
Mo: 0.595 0.095 0.000
Mo: 0.905 0.595 0.000
O: 0.148 0.648 0.500
O: 0.352 0.148 0.500
O: 0.648 0.852 0.500
O: 0.852 0.352 0.500



4.
Crystalline RbMoO2 at its relaxed geometry. Source: the Alexandria database, functional GGA+U.

As for the excess energy over the best structure of this formula in the dataset: 0 meV/atom.

abc: 7.290 7.290 7.290
angles: 26.81 26.81 26.81
Positions (direct):
Rb: 0.000 0.000 0.000
Mo: 0.500 0.500 0.500
O: 0.119 0.119 0.119
O: 0.881 0.881 0.881



5.
Crystalline RbMoO2 at its relaxed geometry. Source: the Alexandria database, functional GGA+U.

As for the excess energy over the best structure of this formula in the dataset: 316 meV/atom.

abc: 7.625 7.625 7.625
angles: 27.10 27.10 27.10
Positions (direct):
Rb: 0.000 0.000 0.000
Mo: 0.500 0.500 0.500
O: 0.417 0.417 0.417
O: 0.583 0.583 0.583



6.
Crystalline Rb5Mo2O6 at its relaxed geometry. Source: the Alexandria database, functional GGA+U.

abc: 6.962 6.962 13.723
angles: 103.11 103.11 69.17
Positions (direct):
Rb: 0.094 0.906 0.750
Rb: 0.183 0.693 0.997
Rb: 0.256 0.432 0.280
Rb: 0.307 0.817 0.503
Rb: 0.432 0.256 0.780
Rb: 0.568 0.744 0.220
Rb: 0.693 0.183 0.497
Rb: 0.744 0.568 0.720
Rb: 0.817 0.307 0.003
Rb: 0.906 0.094 0.250
Mo: 0.157 0.363 0.534
Mo: 0.363 0.157 0.034
Mo: 0.637 0.843 0.966
Mo: 0.843 0.637 0.466
O: 0.081 0.230 0.620
O: 0.186 0.243 0.917
O: 0.230 0.081 0.120
O: 0.243 0.186 0.417
O: 0.348 0.496 0.614
O: 0.496 0.348 0.114
O: 0.504 0.652 0.886
O: 0.652 0.504 0.386
O: 0.757 0.814 0.583
O: 0.770 0.919 0.880
O: 0.814 0.757 0.083
O: 0.919 0.770 0.380



7.
Crystalline RbMoO2 at its relaxed geometry. Source: the Alexandria database, functional GGA+U.

As for the excess energy over the best structure of this formula in the dataset: 427 meV/atom.

abc: 2.835 2.835 6.583
angles: 90.00 90.00 90.00
Positions (direct):
Rb: 0.000 0.000 0.000
Mo: 0.000 0.000 0.500
O: 0.500 0.500 0.317
O: 0.500 0.500 0.683



8.
Crystalline RbMo3O9 at its relaxed geometry. Source: the Alexandria database, functional GGA+U.

abc: 8.579 8.579 8.955
angles: 90.00 90.00 106.03
Positions (direct):
Rb: 0.125 0.125 0.000
Rb: 0.875 0.875 0.500
Mo: 0.249 0.249 0.500
Mo: 0.300 0.688 0.959
Mo: 0.312 0.700 0.541
Mo: 0.688 0.300 0.041
Mo: 0.700 0.312 0.459
Mo: 0.751 0.751 0.000
O: 0.141 0.159 0.344
O: 0.159 0.141 0.656
O: 0.193 0.803 0.052
O: 0.197 0.807 0.448
O: 0.231 0.483 0.006
O: 0.242 0.465 0.510
O: 0.278 0.722 0.750
O: 0.465 0.242 0.490
O: 0.483 0.231 0.994
O: 0.517 0.769 0.494
O: 0.535 0.758 0.990
O: 0.722 0.278 0.250
O: 0.758 0.535 0.010
O: 0.769 0.517 0.506
O: 0.803 0.193 0.948
O: 0.807 0.197 0.552
O: 0.841 0.859 0.156
O: 0.859 0.841 0.844



9.
Crystalline RbMoO2 at its relaxed geometry. Source: the Alexandria database, functional GGA+U.

As for the excess energy over the best structure of this formula in the dataset: 1061 meV/atom.

abc: 4.332 4.332 4.332
angles: 60.00 60.00 60.00
Positions (direct):
Rb: 0.000 0.000 0.000
Mo: 0.500 0.500 0.500
O: 0.250 0.250 0.250
O: 0.750 0.750 0.750



10.
Crystalline RbMoO2 at its relaxed geometry. Source: the Alexandria database, functional GGA+U.

As for the excess energy over the best structure of this formula in the dataset: 87 meV/atom.

abc: 6.928 6.928 6.928
angles: 134.49 134.49 66.33
Positions (direct):
Rb: 0.000 0.000 0.000
Rb: 0.750 0.250 0.500
Mo: 0.250 0.750 0.500
Mo: 0.500 0.500 0.000
O: 0.264 0.625 0.139
O: 0.375 0.514 0.639
O: 0.486 0.125 0.861
O: 0.875 0.736 0.361



11.
Crystalline RbMo2O7 at its relaxed geometry. Source: the Alexandria database, functional GGA+U.

abc: 6.246 6.246 3.896
angles: 90.00 90.00 121.23
Positions (direct):
Rb: 0.000 0.000 0.000
Mo: 0.298 0.702 0.500
Mo: 0.702 0.298 0.500
O: 0.051 0.343 0.500
O: 0.297 0.703 0.000
O: 0.343 0.051 0.500
O: 0.500 0.500 0.500
O: 0.657 0.949 0.500
O: 0.703 0.297 0.000
O: 0.949 0.657 0.500



12.
Crystalline RbMoO4 at its relaxed geometry. Source: the Alexandria database, functional GGA+U.

As for the excess energy over the best structure of this formula in the dataset: 56 meV/atom.

abc: 7.456 7.456 5.451
angles: 107.51 107.51 54.39
Positions (direct):
Rb: 0.136 0.136 0.325
Rb: 0.864 0.864 0.675
Mo: 0.414 0.414 0.146
Mo: 0.586 0.586 0.854
O: 0.211 0.618 0.374
O: 0.285 0.285 0.919
O: 0.322 0.678 0.000
O: 0.382 0.789 0.626
O: 0.618 0.211 0.374
O: 0.678 0.322 0.000
O: 0.715 0.715 0.081
O: 0.789 0.382 0.626



Calculated values (μB/atom) of spin magnetization for the records, taken in order: 0.0548 0.1601 0.2694 0.7433 0.4715 0.0815 0.0547 0.0769 0.7500 0.7497 0.1018 0.1701.
Calculated values (eV/atom) of DFT total energy for the records, taken in order: -6.8312 -4.8191 -4.2494 -5.7747 -5.4584 -5.1787 -5.3474 -6.7091 -4.7140 -5.6880 -6.3485 -6.0430.